# CsRbZnGe | the Alexandria database | PBE-GGA | relaxed
# DOS(E_F) (states/eV per cell): 0.58
# VASP energy (Ha/atom): -0.0728
# Energy of formation from the pure elements (eV per atom): -0.05
data_CsRbZnGe
_chemical_formula_sum 'Cs1 Rb1 Zn1 Ge1'
_symmetry_space_group_name_H-M 'P 1'
_symmetry_Int_Tables_number 1
_cell_length_a 4.527
_cell_length_b 6.521
_cell_length_c 6.555
_cell_angle_alpha 110.94
_cell_angle_beta 105.54
_cell_angle_gamma 105.62
loop_
_symmetry_equiv_pos_as_xyz
'x,y,z'
loop_
_atom_site_label
_atom_site_type_symbol
_atom_site_fract_x
_atom_site_fract_y
_atom_site_fract_z
Cs1 Cs 0.000 0.000 0.000
Rb1 Rb 0.519 0.675 0.326
Zn1 Zn 0.003 0.367 0.635
Ge1 Ge 0.500 0.288 0.705

***

# PuReSi2 | the Alexandria database | PBE-GGA | relaxed
# DOS(E_F) (states/eV per cell): 18.12
# VASP energy (Ha/atom): -0.3387
data_PuReSi2
_chemical_formula_sum 'Pu3 Re3 Si6'
_symmetry_space_group_name_H-M 'R -3 m'
_symmetry_Int_Tables_number 166
_symmetry_space_group_name_Hall '-R 3 2"'
_cell_length_a 2.8942
_cell_length_b 2.8942
_cell_length_c 28.7558
_cell_angle_alpha 90.00
_cell_angle_beta 90.00
_cell_angle_gamma 120.00
loop_
_atom_site_label
_atom_site_type_symbol
_atom_site_fract_x
_atom_site_fract_y
_atom_site_fract_z
Pu1 Pu 0.0000 0.0000 0.0000
Re1 Re 0.0000 0.0000 0.5000
Si1 Si 0.0000 0.0000 0.1000

***

# Tl2HgW | the Alexandria database | PBE-GGA | relaxed
# DOS(E_F) (states/eV per cell): 2.50
# VASP energy (Ha/atom): -0.1333
# Energy of formation from the pure elements (eV per atom): 0.87
data_Tl2HgW
_chemical_formula_sum 'Tl2 Hg1 W1'
_symmetry_space_group_name_H-M 'P 4/m m m'
_symmetry_Int_Tables_number 123
_symmetry_space_group_name_Hall '-P 4 2'
_cell_length_a 5.437
_cell_length_b 5.437
_cell_length_c 3.021
_cell_angle_alpha 90.00
_cell_angle_beta 90.00
_cell_angle_gamma 90.00
loop_
_atom_site_label
_atom_site_type_symbol
_atom_site_fract_x
_atom_site_fract_y
_atom_site_fract_z
Tl1 Tl 0.000 0.500 0.000
Hg1 Hg 0.000 0.000 0.500
W1 W 0.500 0.500 0.500

***

Question: Which of these has the highest VASP energy?
Answer: CsRbZnGe